Density functional theory data (PBE) for a relaxed structure of BaLaBr2.

Summary:
Polymorph energy (0 for the lowest one) in eV per formula unit: 0.46
DOS(E_F) in states/eV per cell: 6.77

CIF file:
```
data_BaLaBr2
_symmetry_space_group_name_H-M 'C m m m'
_symmetry_Int_Tables_number 65
_symmetry_space_group_name_Hall '-C 2 2'
_cell_length_a 3.974
_cell_length_b 7.214
_cell_length_c 10.212
_cell_angle_alpha 90.00
_cell_angle_beta 90.00
_cell_angle_gamma 90.00
loop_
_atom_site_label
_atom_site_type_symbol
_atom_site_fract_x
_atom_site_fract_y
_atom_site_fract_z
_atom_site_occupancy
Ba1 Ba 0.000 0.000 0.000 1
La1 La 0.000 0.000 0.500 1
Br1 Br 0.000 0.500 0.264 1
```